V2Zn4O9 PBE+U optimized geometry; electronic total energy = -356.04 eV for the cell shown; magnetic moment = 0.00 μB/f.u.
1.0
-5.322 -5.100 3.792
5.063 -7.740 -3.304
2.837 3.971 9.324
O V Zn
36 8 16
direct
0.572 0.347 0.048
0.137 0.344 0.886
0.972 0.922 0.332
0.133 0.186 0.365
0.615 0.501 0.538
0.637 0.656 0.114
0.833 0.258 0.255
0.971 0.555 0.157
0.172 0.323 0.151
0.333 0.742 0.745
0.129 0.013 0.080
0.986 0.780 0.765
0.299 0.586 0.118
0.311 0.386 0.611
0.072 0.653 0.952
0.639 0.866 0.399
0.158 0.818 0.493
0.629 0.987 0.920
0.320 0.940 0.337
0.811 0.614 0.389
0.633 0.814 0.635
0.820 0.060 0.663
0.799 0.414 0.882
0.762 0.926 0.127
0.471 0.445 0.843
0.464 0.603 0.358
0.262 0.074 0.873
0.472 0.078 0.668
0.139 0.134 0.601
0.923 0.136 0.946
0.964 0.397 0.642
0.423 0.864 0.054
0.672 0.677 0.849
0.658 0.182 0.507
0.115 0.499 0.462
0.486 0.220 0.235
0.146 0.959 0.443
0.130 0.359 0.522
0.120 0.532 0.030
0.121 0.147 0.004
0.646 0.041 0.557
0.621 0.853 0.996
0.630 0.641 0.478
0.620 0.468 0.970
0.647 0.285 0.389
0.193 0.808 0.917
0.449 0.747 0.259
0.832 0.935 0.773
0.898 0.604 0.791
0.398 0.396 0.209
0.324 0.261 0.738
0.147 0.715 0.611
0.473 0.560 0.717
0.824 0.739 0.262
0.973 0.440 0.283
0.945 0.063 0.235
0.332 0.065 0.227
0.445 0.937 0.765
0.693 0.192 0.083
0.949 0.253 0.741